Li3V4O8 | PBE+U | relaxed

```
data_Li3V4O8
_chemical_formula_sum 'Li6 V8 O16'
_space_group_name_H-M_alt 'P 1'
_space_group_IT_number 1
_cell_length_a 5.9177
_cell_length_b 6.1406
_cell_length_c 10.2112
_cell_angle_alpha 106.75
_cell_angle_beta 90.22
_cell_angle_gamma 118.81
loop_
_space_group_symop_operation_xyz
'x,y,z'
loop_
_atom_site_label
_atom_site_type_symbol
_atom_site_fract_x
_atom_site_fract_y
_atom_site_fract_z
Li1 Li 0.0000 0.0000 0.0000
Li2 Li 0.0569 0.1382 0.3590
Li3 Li 0.2810 0.5701 0.4288
Li4 Li 0.4943 0.0022 0.5004
Li5 Li 0.5626 0.1377 0.8545
Li6 Li 0.7881 0.5673 0.9228
V1 V 0.0278 0.5727 0.6762
V2 V 0.0302 0.0792 0.6813
V3 V 0.0303 0.5735 0.1809
V4 V 0.2884 0.5729 0.9296
V5 V 0.5281 0.5719 0.1764
V6 V 0.5277 0.5760 0.6790
V7 V 0.5312 0.0736 0.1796
V8 V 0.7795 0.5749 0.4347
O1 O 0.1299 0.8132 0.5533
O2 O 0.1638 0.3452 0.5631
O3 O 0.1668 0.8059 0.0592
O4 O 0.1935 0.3673 0.0654
O5 O 0.3773 0.7742 0.8004
O6 O 0.3949 0.3322 0.8007
O7 O 0.3983 0.8008 0.2930
O8 O 0.4290 0.3384 0.2998
O9 O 0.6491 0.8185 0.0684
O10 O 0.6641 0.3465 0.0658
O11 O 0.6666 0.8134 0.5545
O12 O 0.6701 0.3664 0.5503
O13 O 0.8625 0.7684 0.3020
O14 O 0.8926 0.8006 0.7925
O15 O 0.8978 0.3445 0.3048
O16 O 0.9230 0.3336 0.7976
```

* ΔE to the lowest computed polymorph: 0.052 eV per formula unit
* E_tot: -7.079 eV/atom
* crystal system: triclinic
* spin magnetization: 7.00 μB/f.u.